BaSmZnS3 (PBE-GGA, optimized geometry); DFT total energy = -4.9126 eV per atom; space-group type = Cmcm (63); crystal system = orthorhombic
1.0
2.056 -6.908 0.000
2.056 6.908 0.000
0.000 0.000 10.560
Sm S Ba Zn
2 6 2 2
direct
0.500 0.500 0.500 Sm
0.500 0.500 0.000 Sm
0.134 0.866 0.074 S
0.134 0.866 0.426 S
0.866 0.134 0.926 S
0.866 0.134 0.574 S
0.566 0.434 0.750 S
0.434 0.566 0.250 S
0.753 0.247 0.250 Ba
0.247 0.753 0.750 Ba
0.028 0.972 0.250 Zn
0.972 0.028 0.750 Zn



CdCoBPt (PBE-GGA, optimized geometry); space-group type = F-43m (216); relative energy among the computed polymorphs = 0 meV per atom; crystal system = cubic
1.0
-3.128 -1.437 2.460
-3.933 1.476 -0.501
-3.002 -2.492 -1.635
Cd B Pt Co
1 1 1 1
direct
0.500 0.500 0.500 Cd
0.000 0.000 0.000 B
0.250 0.250 0.250 Pt
0.750 0.750 0.750 Co



Copy entry 2 word for word.
CdCoBPt (PBE-GGA, optimized geometry); space-group type = F-43m (216); relative energy among the computed polymorphs = 0 meV per atom; crystal system = cubic
1.0
-3.128 -1.437 2.460
-3.933 1.476 -0.501
-3.002 -2.492 -1.635
Cd B Pt Co
1 1 1 1
direct
0.500 0.500 0.500 Cd
0.000 0.000 0.000 B
0.250 0.250 0.250 Pt
0.750 0.750 0.750 Co



> What is the formula in the first record?

BaSmZnS3